Entry 1:
Computed, not measured: a relaxed structure of TlIr2Au at the PBE-GGA level of DFT.

Cell lengths 5.957, 5.957, 5.957 Å; angles 152.21, 132.30, 56.10 degrees
Atoms (fractional coordinates):
Au1 0.235 0.735 0.500
Ir1 0.974 0.974 0.000
Ir2 0.768 0.268 0.500
Tl1 0.523 0.523 0.000

Results
energy above the most stable polymorph in this dataset = 0.121 eV per atom
raw total energy = -5.335 eV/atom
size of the total moment = 0.00 μB per formula unit
calculated formation energy = 195 kJ/mol of formula units
density of states at the Fermi level = 0.871 states/eV/atom

Entry 2:
Computed, not measured: a relaxed structure of BaMgTl at the PBE-GGA level of DFT.

Cell lengths 7.091, 7.091, 7.091 Å; angles 147.45, 147.45, 46.70 degrees
Atoms (fractional coordinates):
Ba1 0.003 0.003 0.000
Mg1 0.304 0.304 0.000
Tl1 0.694 0.694 0.000

Results
raw total energy = -2.130 eV/atom
size of the total moment = 0.00 μB per formula unit
calculated formation energy = -49 kJ/mol of formula units
density of states at the Fermi level = 1.050 states/eV/atom

Entry 3:
Computed, not measured: a relaxed structure of ZnCu12Ni6 at the PBE-GGA level of DFT.

Cell lengths 6.115, 6.115, 6.115 Å; angles 89.95, 89.95, 89.95 degrees
Atoms (fractional coordinates):
Zn1 0.000 0.000 0.000
Cu1 0.805 0.520 0.432
Cu2 0.432 0.805 0.520
Cu3 0.520 0.432 0.805
Cu4 0.195 0.480 0.568
Cu5 0.568 0.195 0.480
Cu6 0.480 0.568 0.195
Cu7 0.037 0.157 0.378
Cu8 0.843 0.622 0.963
Cu9 0.622 0.963 0.843
Cu10 0.963 0.843 0.622
Cu11 0.157 0.378 0.037
Cu12 0.378 0.037 0.157
Ni1 0.736 0.884 0.269
Ni2 0.731 0.264 0.116
Ni3 0.116 0.731 0.264
Ni4 0.264 0.116 0.731
Ni5 0.269 0.736 0.884
Ni6 0.884 0.269 0.736

Results
raw total energy = -4.416 eV/atom
size of the total moment = 0.00 μB per formula unit
calculated formation energy = 117 kJ/mol of formula units
density of states at the Fermi level = 0.424 states/eV/atom